Computed, not measured: a relaxed structure of MoC at the PBE level of DFT.

a = 3.0959 Å, b = 3.0959 Å, c = 3.0959 Å
α = 60.00°, β = 60.00°, γ = 60.00°
With the nearest neighbours (Å) after each atom.
Fractional positions:
C 0.0000 0.0000 0.0000  6 Mo 2.19
Mo 0.5000 0.5000 0.5000  6 C 2.19

The value obtained for the total magnetic moment is 0.0 μB per cell. The calculation puts the polymorph energy (0 for the lowest one) at 0.305 eV per atom. For the volume, the calculation gives 20.98 Å³ per cell. Its electronic total energy is -9.819 eV/atom.